No. 1
A plane-wave DFT calculation with PBE was carried out for crystalline HfB4Mo6 at its relaxed geometry.

Results
**Formation enthalpy at 0 K**: -2.21 kcal/mol of atoms
**DOS at the Fermi energy**: 5.23 states/eV/f.u.
**Raw total energy**: -0.6862 Ry per atom

Cell lengths 5.8970, 5.8970, 5.8970 Å; angles 93.48, 118.01, 118.01 degrees
Element x y z (fractional)
Mo (0.5000, 0.5000, 0.0000)
Mo (0.5000, 0.0000, 0.5000)
B (0.0000, 0.6287, 0.1916)
B (0.4370, 0.8084, 0.8084)
Hf (0.0000, 0.0000, 0.0000)
B (0.0000, 0.1916, 0.6287)
Mo (0.0000, 0.5286, 0.8279)
Mo (0.2992, 0.4714, 0.4714)
Mo (0.7008, 0.1721, 0.1721)
Mo (0.0000, 0.8279, 0.5286)
B (0.5630, 0.3713, 0.3713)



No. 2
A plane-wave DFT calculation with PBE was carried out for crystalline PmPrTmHg at its relaxed geometry.

Results
**Energy relative to the lowest polymorph listed for this composition**: 0 kJ/mol of formula units
**Formation enthalpy at 0 K**: -5.38 kcal/mol of atoms
**DOS at the Fermi energy**: 4.32 states/eV/f.u.
**Raw total energy**: -0.2800 Ry per atom

Cell lengths 3.6859, 3.6859, 8.9062 Å; angles 90.00, 90.00, 90.00 degrees
Element x y z (fractional)
Pm (0.5000, 0.5000, 0.7901)
Tm (0.5000, 0.5000, 0.3592)
Pr (0.0000, 0.0000, 0.0803)
Hg (0.0000, 0.0000, 0.5551)



Question: Which value of formation enthalpy at 0 K does entry 1 give?
Answer: -2.21 kcal/mol of atoms



What did the second record say?
A plane-wave DFT calculation with PBE was carried out for crystalline PmPrTmHg at its relaxed geometry.

Results
**Energy relative to the lowest polymorph listed for this composition**: 0 kJ/mol of formula units
**Formation enthalpy at 0 K**: -5.38 kcal/mol of atoms
**DOS at the Fermi energy**: 4.32 states/eV/f.u.
**Raw total energy**: -0.2800 Ry per atom

Cell lengths 3.6859, 3.6859, 8.9062 Å; angles 90.00, 90.00, 90.00 degrees
Element x y z (fractional)
Pm (0.5000, 0.5000, 0.7901)
Tm (0.5000, 0.5000, 0.3592)
Pr (0.0000, 0.0000, 0.0803)
Hg (0.0000, 0.0000, 0.5551)